No. 1
DFT (PBEsol) results for an optimized crystal structure of Li5Ni7O12.

Unit cell a=4.932 b=4.932 c=9.445 alpha=94.67 beta=94.67 gamma=118.88
Atoms (fractional coordinates):
Li  0.654  0.831  0.745
Li  0.169  0.346  0.255
Li  0.832  0.658  0.256
Li  0.342  0.168  0.744
Li  0.919  0.081  0.500
O  0.706  0.545  0.890
O  0.334  0.845  0.869
O  0.455  0.294  0.110
O  0.312  0.468  0.613
O  0.964  0.745  0.611
O  0.532  0.688  0.387
O  0.255  0.036  0.389
O  0.756  0.968  0.111
O  0.032  0.244  0.889
O  0.847  0.349  0.370
O  0.651  0.153  0.630
O  0.155  0.666  0.131
Ni  0.408  0.592  0.000
Ni  0.508  0.002  0.253
Ni  0.078  0.922  0.000
Ni  0.998  0.492  0.747
Ni  0.592  0.408  0.500
Ni  0.740  0.260  0.000
Ni  0.262  0.738  0.500

Values from the calculation:
- Formation energy from raw total energies: -1.205 eV per atom

No. 2
DFT (PBEsol) results for an optimized crystal structure of KSrBi2O6.

Unit cell a=5.920 b=6.011 c=5.920 alpha=60.50 beta=90.00 gamma=119.50
Atoms (fractional coordinates):
Sr  0.500  0.000  0.500
O  0.500  0.000  0.000
O  0.924  0.468  0.455
O  0.000  0.000  0.500
O  0.545  0.468  0.076
O  0.076  0.532  0.924
O  0.455  0.532  0.545
Bi  0.750  0.500  0.750
Bi  0.250  0.500  0.250
K  0.000  0.000  0.000

Values from the calculation:
- Formation energy from raw total energies: -1.517 eV per atom

No. 3
DFT (PBEsol) results for an optimized crystal structure of Na3LiMo2H12O14.

Unit cell a=8.653 b=8.653 c=11.360 alpha=67.61 beta=67.61 gamma=60.00
Atoms (fractional coordinates):
O  0.310  0.566  0.936
O  0.888  0.186  0.673
O  0.963  0.828  0.963
O  0.186  0.254  0.673
O  0.254  0.888  0.673
O  0.566  0.188  0.936
O  0.328  0.463  0.463
O  0.545  0.024  0.696
O  0.828  0.246  0.963
O  0.246  0.963  0.963
O  0.685  0.685  0.946
O  0.931  0.931  0.206
O  0.524  0.045  0.196
O  0.463  0.746  0.463
O  0.754  0.686  0.173
O  0.746  0.328  0.463
O  0.686  0.388  0.173
O  0.188  0.310  0.936
O  0.735  0.545  0.696
O  0.810  0.688  0.436
O  0.688  0.066  0.436
O  0.388  0.754  0.173
O  0.066  0.810  0.436
O  0.024  0.735  0.696
O  0.431  0.431  0.706
O  0.235  0.524  0.196
O  0.045  0.235  0.196
O  0.185  0.185  0.446
Na  0.469  0.765  0.813
Na  0.952  0.469  0.813
Na  0.452  0.265  0.313
Na  0.969  0.452  0.313
Na  0.265  0.969  0.313
Na  0.765  0.952  0.813
H  0.731  0.234  0.944
H  0.894  0.767  0.045
H  0.119  0.764  0.700
H  0.764  0.417  0.700
H  0.038  0.761  0.600
H  0.090  0.731  0.944
H  0.234  0.090  0.944
H  0.734  0.231  0.444
H  0.917  0.264  0.200
H  0.294  0.894  0.045
H  0.619  0.917  0.200
H  0.267  0.394  0.545
H  0.261  0.538  0.100
H  0.794  0.267  0.545
H  0.417  0.119  0.700
H  0.767  0.294  0.045
H  0.101  0.261  0.100
H  0.264  0.619  0.200
H  0.231  0.590  0.444
H  0.538  0.101  0.100
H  0.590  0.734  0.444
H  0.394  0.794  0.545
H  0.601  0.038  0.600
H  0.761  0.601  0.600
Mo  0.627  0.627  0.118
Mo  0.875  0.875  0.376
Mo  0.375  0.375  0.876
Mo  0.127  0.127  0.618
Li  0.494  0.494  0.519
Li  0.994  0.994  0.019

No. 4
DFT (PBEsol) results for an optimized crystal structure of BeAl3Sn.

Unit cell a=5.158 b=5.158 c=5.158 alpha=90.00 beta=90.00 gamma=90.00
Atoms (fractional coordinates):
Sn  0.000  0.000  0.000
Be  0.500  0.500  0.500
Al  0.500  0.000  0.000
Al  0.000  0.500  0.000
Al  0.000  0.000  0.500

Values from the calculation:
- Formation enthalpy at 0 K: 1.3540 eV/atom

No. 5
DFT (PBEsol) results for an optimized crystal structure of TaCu2Te.

Unit cell a=3.789 b=3.789 c=5.108 alpha=111.77 beta=111.77 gamma=90.00
Atoms (fractional coordinates):
Cu  0.750  0.250  0.500
Cu  0.000  0.000  0.000
Ta  0.500  0.500  0.000
Te  0.250  0.750  0.500

Values from the calculation:
- Formation energy from raw total energies: 0.179 eV per atom

No. 6
DFT (PBEsol) results for an optimized crystal structure of KCr3Hg.

Unit cell a=5.238 b=5.238 c=5.238 alpha=90.00 beta=90.00 gamma=90.00
Atoms (fractional coordinates):
Cr  0.000  0.500  0.000
Cr  0.000  0.000  0.500
Cr  0.500  0.000  0.000
K  0.000  0.000  0.000
Hg  0.500  0.500  0.500

Values from the calculation:
- Formation enthalpy at 0 K: 2.4723 eV/atom

No. 7
DFT (PBEsol) results for an optimized crystal structure of Cu2SiAu.

Unit cell a=3.175 b=3.175 c=5.316 alpha=90.00 beta=90.00 gamma=90.00
Atoms (fractional coordinates):
Si  0.000  0.000  0.520
Cu  0.500  0.500  0.754
Cu  0.000  0.000  0.973
Au  0.500  0.500  0.252

Values from the calculation:
- Formation energy from raw total energies: 0.007 eV per atom

No. 8
DFT (PBEsol) results for an optimized crystal structure of BeOsRu.

Unit cell a=3.925 b=3.926 c=4.947 alpha=66.62 beta=90.00 gamma=90.00
Atoms (fractional coordinates):
Os  0.750  0.407  0.186
Os  0.250  0.593  0.814
Ru  0.250  0.904  0.192
Ru  0.750  0.096  0.808
Be  0.750  0.752  0.495
Be  0.250  0.248  0.505

Values from the calculation:
- Formation enthalpy at 0 K: -0.1522 eV/atom

No. 9
DFT (PBEsol) results for an optimized crystal structure of K2CdSnSe4.

Unit cell a=6.624 b=6.624 c=6.624 alpha=105.77 beta=105.77 gamma=117.15
Atoms (fractional coordinates):
Se  0.410  0.410  0.349
Se  0.939  0.590  0.000
Se  0.590  0.939  0.000
Se  0.061  0.061  0.651
K  0.500  0.000  0.500
K  0.000  0.500  0.500
Cd  0.500  0.500  0.000
Sn  0.000  0.000  0.000

Values from the calculation:
- Formation energy from raw total energies: -0.811 eV per atom

No. 10
DFT (PBEsol) results for an optimized crystal structure of AlZn3.

Unit cell a=2.709 b=2.709 c=9.334 alpha=90.00 beta=90.00 gamma=120.00
Atoms (fractional coordinates):
Zn  0.333  0.667  0.743
Zn  0.000  0.000  0.500
Zn  0.333  0.667  0.257
Al  0.000  0.000  0.000

Values from the calculation:
- Formation enthalpy at 0 K: 0.0486 eV/atom

No. 11
DFT (PBEsol) results for an optimized crystal structure of In2TeAs.

Unit cell a=4.422 b=4.422 c=8.287 alpha=74.53 beta=74.53 gamma=60.00
Atoms (fractional coordinates):
As  0.126  0.126  0.623
In  0.012  0.012  0.964
In  0.493  0.493  0.520
Te  0.619  0.619  0.143

Values from the calculation:
- Energy relative to the lowest polymorph listed for this composition: 88.1 meV/atom
- Formation energy from raw total energies: -0.073 eV per atom

No. 12
DFT (PBEsol) results for an optimized crystal structure of In4Ag.

Unit cell a=5.540 b=5.540 c=5.540 alpha=109.47 beta=109.47 gamma=109.47
Atoms (fractional coordinates):
In  0.500  0.500  0.500
In  0.500  0.000  0.000
In  0.000  0.500  0.000
In  0.000  0.000  0.500
Ag  0.000  0.000  0.000

Values from the calculation:
- Energy relative to the lowest polymorph listed for this composition: 0.0 meV/atom
- Formation enthalpy at 0 K: 0.1293 eV/atom

| no. | theoretical density (g/cm3) | N(E_F) (states/eV per cell) | total energy (eV/atom) |
| --- | --- | --- | --- |
| 1 | 5.3 | 8.5 | -6.036 |
| 2 | 7.0 | 1.1 | -5.821 |
| 3 | 2.5 | 0.0 | -5.973 |
| 4 | 2.5 | 3.0 | -2.753 |
| 5 | 11.6 | 2.8 | -6.008 |
| 6 | 4.6 | 3.0 | -4.013 |
| 7 | 10.9 | 1.2 | -4.578 |
| 8 | 14.3 | 4.0 | -8.948 |
| 9 | 4.7 | 0.0 | -3.702 |
| 10 | 6.2 | 1.5 | -2.161 |
| 11 | 5.4 | 2.1 | -3.722 |
| 12 | 7.2 | 2.1 | -2.919 |